This record from Alexandria describes a relaxed BeIrAuO crystal. The functional is PBE-GGA.

a = 3.4257 Å, b = 2.8751 Å, c = 5.8507 Å
α = 90.00°, β = 93.43°, γ = 90.00°
Closest atoms and distances in Å follow each position.
Space group Pm (No. 6)
Inequivalent atoms, fractional coordinates:
Be: 0.0000 0.0000 0.0000  4 Ir 2.32-2.34, 2 Au 2.40-2.45
Ir: 0.4927 0.5000 0.8892  1 O 1.90
Au: 0.5198 0.0000 0.2929  2 O 2.21, 2 Be 2.40-2.45
O: 0.3926 0.5000 0.5658  1 Ir 1.90

Results
uncorrected energy: -5.3114 eV/atom
theoretical density: 11.957 Mg/m³
spin magnetization: 0.0 μB per cell
E_form (uncorrected): -0.106 eV per atom